Compound: CaCd2Cu
Source: Alexandria
Functional: GGA-PBE
Structure: relaxed

Cell lengths 10.887, 10.887, 10.887 Å; angles 156.97, 156.97, 32.80 degrees
Fractional coordinates of all 8 atoms:
Ca (0.000, 0.000, 0.000)
Ca (0.750, 0.250, 0.500)
Cd (0.162, 0.625, 0.037)
Cd (0.375, 0.412, 0.537)
Cd (0.588, 0.125, 0.963)
Cd (0.875, 0.838, 0.463)
Cu (0.250, 0.750, 0.500)
Cu (0.500, 0.500, 0.000)

The calculation puts the density of states at the Fermi level at 3.437 states/eV/cell. The value obtained for the formation enthalpy at 0 K is 0.058 eV/atom. The calculation puts the calculated volume at 24.7 Å³ per atom. Its space group is No. 122.